The following is a PBE calculation of an optimized crystal structure of Cu2TeSe, from Alexandria.

Properties
- E_tot (eV/atom) = -3.787
- raw formation energy (eV per atom) = -0.083
- N(E_F) (states/eV per cell) = 9.28
- polymorph energy (0 for the lowest one) (eV/atom) = 0.000
- volume (Å³ per cell) = 368.8

Cell: 5.7004 5.7004 11.3485 Å, 90.00 90.00 90.00°
Space group I-42d (No. 122)
Symmetry-distinct sites (fractional):
Cu (0.2232, 0.2500, 0.1250) (multiplicity 8)
Te (0.0000, 0.0000, 0.5000) (multiplicity 4)
Se (0.0000, 0.0000, 0.0000) (multiplicity 4)

The following is a PBE calculation of an optimized crystal structure of Cu2GePd6, from Alexandria.

Properties
- E_tot (eV/atom) = -5.108
- N(E_F) (states/eV per cell) = 9.48
- polymorph energy (0 for the lowest one) (eV/atom) = 0.000
- volume (Å³ per cell) = 263.9

Cell: 8.3300 4.0373 8.0071 Å, 90.00 101.50 90.00°
Space group C2/m (No. 12)
Symmetry-distinct sites (fractional):
Cu (0.1860, 0.0000, 0.2376) (multiplicity 4)
Ge (0.0000, 0.5000, 0.0000) (multiplicity 2)
Pd (0.0091, 0.5000, 0.3171) (multiplicity 4)
Pd (0.1520, 0.0000, 0.9038) (multiplicity 4)
Pd (0.1628, 0.0000, 0.5556) (multiplicity 4)